This record from Alexandria describes RbB2F7 after structural relaxation. The functional is PBE.

Lattice parameters (Å, degrees): 3.878 7.568 7.568 138.84 90.00 90.00
Atoms (fractional coordinates):
F (0.000, 0.402, 0.598)
B (0.500, 0.609, 0.391)
Rb (0.000, 0.000, 0.000)
F (0.500, 0.500, 0.500)
F (0.500, 0.584, 0.877)
B (0.500, 0.391, 0.609)
F (0.500, 0.123, 0.416)
F (0.000, 0.598, 0.402)
F (0.500, 0.416, 0.123)
F (0.500, 0.877, 0.584)

- Crystal system: orthorhombic
- Theoretical density: 2.727 Mg/m³
- Final energy: -5.26 eV/atom
- SG: Cmmm (65)
- Size of the total moment: 0.100 μB per formula unit